## WO2 (PBE with a Hubbard U)

Data for WO2 after structural relaxation.

a = 3.283 Å, b = 4.768 Å, c = 4.770 Å
α = 90.00°, β = 90.00°, γ = 90.00°
Each line ends with the local moment (μB).
Fractional positions:
O 0.500 0.698 0.697  0.00
O 0.000 0.198 0.803  0.00
O 0.000 0.802 0.197  0.00
O 0.500 0.302 0.303  0.00
W 0.500 0.000 0.000  1.98
W 0.000 0.500 0.500  1.98

Computed properties:
Space group: No. 136
E_tot (eV/atom): -7.724
Density of states at the Fermi level (states/eV per cell): 0.00